[1]
# Sr2CdMo | Alexandria via LeMat-Bulk | SCAN | single point on PBEsol structure
data_Sr2CdMo
_chemical_formula_sum 'Sr4 Cd2 Mo2'
_symmetry_space_group_name_H-M 'I -4 m 2'
_symmetry_Int_Tables_number 119
_symmetry_space_group_name_Hall 'I -4 -2'
_cell_length_a 4.859
_cell_length_b 4.859
_cell_length_c 9.221
_cell_angle_alpha 90.00
_cell_angle_beta 90.00
_cell_angle_gamma 90.00
loop_
_atom_site_label
_atom_site_type_symbol
_atom_site_fract_x
_atom_site_fract_y
_atom_site_fract_z
_atom_site_occupancy
Sr1 Sr 0.000 0.000 0.000 1
Sr2 Sr 0.000 0.500 0.250 1
Cd1 Cd 0.000 0.000 0.500 1
Mo1 Mo 0.000 0.500 0.750 1
# E = -26.80 eV per atom
# ΔE_f = 0.66 eV per atom
# Relative energy among the computed polymorphs = 0.1100 eV per atom

---

[2]
# SrCdMo2 | Alexandria via LeMat-Bulk | SCAN | single point on PBEsol structure
data_SrCdMo2
_chemical_formula_sum 'Sr2 Cd2 Mo4'
_symmetry_space_group_name_H-M 'C 1 m 1'
_symmetry_Int_Tables_number 8
_cell_length_a 8.503
_cell_length_b 3.056
_cell_length_c 6.995
_cell_angle_alpha 90.00
_cell_angle_beta 96.93
_cell_angle_gamma 90.00
loop_
_symmetry_equiv_pos_as_xyz
'x,y,z'
'x,-y,z'
'x+1/2,y+1/2,z'
'x+1/2,-y+1/2,z'
loop_
_atom_site_label
_atom_site_type_symbol
_atom_site_fract_x
_atom_site_fract_y
_atom_site_fract_z
_atom_site_occupancy
Sr1 Sr 0.000 0.000 0.000 1
Cd1 Cd 0.238 0.000 0.671 1
Mo1 Mo 0.269 0.500 0.316 1
Mo2 Mo 0.494 0.000 0.440 1
# E = -29.95 eV per atom
# ΔE_f = 0.66 eV per atom
# Relative energy among the computed polymorphs = 0.2806 eV per atom

---

[3]
# SrCdMo2 | Alexandria via LeMat-Bulk | SCAN | single point on PBEsol structure
data_SrCdMo2
_chemical_formula_sum 'Sr1 Cd1 Mo2'
_symmetry_space_group_name_H-M 'P 1 m 1'
_symmetry_Int_Tables_number 6
_cell_length_a 3.280
_cell_length_b 3.275
_cell_length_c 7.975
_cell_angle_alpha 90.00
_cell_angle_beta 92.22
_cell_angle_gamma 90.00
loop_
_symmetry_equiv_pos_as_xyz
'x,y,z'
'x,-y,z'
loop_
_atom_site_label
_atom_site_type_symbol
_atom_site_fract_x
_atom_site_fract_y
_atom_site_fract_z
_atom_site_occupancy
Sr1 Sr 0.000 0.000 0.000 1
Cd1 Cd 0.523 0.500 0.317 1
Mo1 Mo 0.053 0.000 0.550 1
Mo2 Mo 0.501 0.500 0.698 1
# E = -30.23 eV per atom
# ΔE_f = 0.38 eV per atom
# Relative energy among the computed polymorphs = 0.0000 eV per atom

---

Look up the ΔE_f of the second one. 0.66 eV per atom